Entry 1:
The following is a DFT calculation (PBE) of a relaxed Li2MgHg crystal.

## Properties
The value obtained for the uncorrected energy is -1.682 eV per atom. The value obtained for the calculated formation energy is -251 meV per atom. As for the crystal system: orthorhombic.

a = 4.3363 Å, b = 4.3492 Å, c = 3.9735 Å
α = 90.00°, β = 90.00°, γ = 90.00°
With the nearest neighbours (Å) after each atom.
Element x y z (fractional)
Mg (0.5000, 0.0000, 0.5000)  8 Li 2.94-2.95, 4 Hg 3.07
Hg (0.0000, 0.5000, 0.5000)  8 Li 2.94-2.95, 4 Mg 3.07
Li (0.5000, 0.5000, 0.0000)  4 Hg 2.94, 4 Mg 2.95, 4 Li 3.07
Li (0.0000, 0.0000, 0.0000)  4 Mg 2.94, 4 Hg 2.95, 4 Li 3.07

Entry 2:
The following is a DFT calculation (PBE) of a relaxed Tl5Hg2As crystal.

## Properties
The value obtained for the uncorrected energy is -2.127 eV per atom. The value obtained for the calculated formation energy is 8 meV per atom. As for the crystal system: orthorhombic.

a = 5.2741 Å, b = 6.7392 Å, c = 13.1305 Å
α = 90.00°, β = 90.00°, γ = 90.00°
With the nearest neighbours (Å) after each atom.
Element x y z (fractional)
Tl (0.5000, 0.8298, 0.9002)  2 As 3.16, 3 Hg 3.28-3.43, 1 Tl 3.48
Tl (0.5000, 0.6702, 0.4002)  2 As 3.16, 3 Hg 3.28-3.43, 1 Tl 3.48
Tl (0.5000, 0.3298, 0.5998)  2 As 3.16, 3 Hg 3.28-3.43, 1 Tl 3.48
Tl (0.0000, 0.0000, 0.5000)  2 As 3.37, 4 Hg 3.40, 6 Tl 3.69-3.74
Tl (0.5000, 0.1702, 0.0998)  2 As 3.16, 3 Hg 3.28-3.43, 1 Tl 3.48
Tl (0.0000, 0.3842, 0.2782)  1 As 3.02, 2 Hg 3.24
Tl (0.0000, 0.8842, 0.2218)  1 As 3.02, 2 Hg 3.24
Tl (0.0000, 0.5000, 0.0000)  2 As 3.37, 4 Hg 3.40, 6 Tl 3.69-3.74
Tl (0.0000, 0.6158, 0.7218)  1 As 3.02, 2 Hg 3.24
Tl (0.0000, 0.1158, 0.7782)  1 As 3.02, 2 Hg 3.24
Hg (0.5000, 0.6491, 0.1446)  8 Tl 3.24-3.56
Hg (0.5000, 0.8509, 0.6446)  8 Tl 3.24-3.56
Hg (0.5000, 0.1491, 0.3554)  8 Tl 3.24-3.56
Hg (0.5000, 0.3509, 0.8554)  8 Tl 3.24-3.56
As (0.0000, 0.0000, 0.0000)  8 Tl 3.02-3.37
As (0.0000, 0.5000, 0.5000)  8 Tl 3.02-3.37

Entry 3:
The following is a DFT calculation (PBE) of a relaxed HoScGaPt crystal.

## Properties
The value obtained for the uncorrected energy is -5.868 eV per atom. The value obtained for the calculated formation energy is -873 meV per atom. As for the crystal system: cubic.

a = 4.8550 Å, b = 4.8550 Å, c = 4.8550 Å
α = 60.00°, β = 60.00°, γ = 60.00°
With the nearest neighbours (Å) after each atom.
Element x y z (fractional)
Pt (0.5000, 0.5000, 0.5000)  4 Sc 2.97, 4 Ho 2.97
Ga (0.0000, 0.0000, 0.0000)  4 Ho 2.97, 4 Sc 2.97
Ho (0.2500, 0.2500, 0.2500)  4 Pt 2.97, 4 Ga 2.97
Sc (0.7500, 0.7500, 0.7500)  4 Ga 2.97, 4 Pt 2.97

Entry 4:
The following is a DFT calculation (PBE) of a relaxed Mg6Tl12In crystal.

## Properties
The value obtained for the uncorrected energy is -2.118 eV per atom. The value obtained for the calculated formation energy is 24 meV per atom. As for the crystal system: trigonal.

a = 8.8696 Å, b = 8.8696 Å, c = 8.8696 Å
α = 110.46°, β = 110.46°, γ = 110.46°
With the nearest neighbours (Å) after each atom.
Element x y z (fractional)
In (0.0000, 0.0000, 0.0000)  12 Tl 3.45-3.46
Mg (0.5631, 0.0449, 0.3498)  9 Tl 3.20-3.44, 3 Mg 3.44-3.46
Mg (0.6502, 0.4369, 0.9551)  9 Tl 3.20-3.44, 3 Mg 3.44-3.46
Mg (0.3498, 0.5631, 0.0449)  9 Tl 3.20-3.44, 3 Mg 3.44-3.46
Mg (0.9551, 0.6502, 0.4369)  9 Tl 3.20-3.44, 3 Mg 3.44-3.46
Mg (0.0449, 0.3498, 0.5631)  9 Tl 3.20-3.44, 3 Mg 3.44-3.46
Mg (0.4369, 0.9551, 0.6502)  9 Tl 3.20-3.44, 3 Mg 3.44-3.46
Tl (0.8240, 0.8859, 0.2620)  6 Tl 3.26-3.61, 5 Mg 3.27-3.41, 1 In 3.46
Tl (0.1760, 0.1141, 0.7380)  6 Tl 3.26-3.61, 5 Mg 3.27-3.41, 1 In 3.46
Tl (0.6732, 0.7957, 0.5252)  4 Mg 3.20-3.44, 6 Tl 3.26-3.42, 1 In 3.45
Tl (0.1141, 0.7380, 0.1760)  6 Tl 3.26-3.61, 5 Mg 3.27-3.41, 1 In 3.46
Tl (0.7957, 0.5252, 0.6732)  4 Mg 3.20-3.44, 6 Tl 3.26-3.42, 1 In 3.45
Tl (0.7380, 0.1760, 0.1141)  6 Tl 3.26-3.61, 5 Mg 3.27-3.41, 1 In 3.46
Tl (0.2620, 0.8240, 0.8859)  6 Tl 3.26-3.61, 5 Mg 3.27-3.41, 1 In 3.46
Tl (0.2043, 0.4748, 0.3268)  4 Mg 3.20-3.44, 6 Tl 3.26-3.42, 1 In 3.45
Tl (0.5252, 0.6732, 0.7957)  4 Mg 3.20-3.44, 6 Tl 3.26-3.42, 1 In 3.45
Tl (0.4748, 0.3268, 0.2043)  4 Mg 3.20-3.44, 6 Tl 3.26-3.42, 1 In 3.45
Tl (0.8859, 0.2620, 0.8240)  6 Tl 3.26-3.61, 5 Mg 3.27-3.41, 1 In 3.46
Tl (0.3268, 0.2043, 0.4748)  4 Mg 3.20-3.44, 6 Tl 3.26-3.42, 1 In 3.45

Entry 5:
The following is a DFT calculation (PBE) of a relaxed Cd3CoI crystal.

## Properties
Its formation energy from raw total energies is 0.348 eV per atom. The value obtained for the uncorrected energy is -1.933 eV per atom. As for the crystal system: cubic.

a = 5.1770 Å, b = 5.1770 Å, c = 5.1770 Å
α = 90.00°, β = 90.00°, γ = 90.00°
With the nearest neighbours (Å) after each atom.
Element x y z (fractional)
Cd (0.0000, 0.5000, 0.0000)  2 Co 2.59
Cd (0.5000, 0.0000, 0.0000)  2 Co 2.59
Cd (0.0000, 0.0000, 0.5000)  2 Co 2.59
I (0.5000, 0.5000, 0.5000)  12 Cd 3.66
Co (0.0000, 0.0000, 0.0000)  6 Cd 2.59

Entry 6:
The following is a DFT calculation (PBE) of a relaxed CoMoSe2 crystal.

## Properties
Its formation energy from raw total energies is 0.213 eV per atom. The value obtained for the uncorrected energy is -6.014 eV per atom. As for the crystal system: cubic.

a = 4.4157 Å, b = 4.4157 Å, c = 4.4157 Å
α = 60.00°, β = 60.00°, γ = 60.00°
With the nearest neighbours (Å) after each atom.
Element x y z (fractional)
Mo (0.5000, 0.5000, 0.5000)  8 Se 2.70
Co (0.0000, 0.0000, 0.0000)  8 Se 2.70
Se (0.7500, 0.7500, 0.7500)  4 Mo 2.70, 4 Co 2.70
Se (0.2500, 0.2500, 0.2500)  4 Mo 2.70, 4 Co 2.70